Record 1
# PaZnBi | Alexandria | PBE | relaxed
# calculated formation energy = 0.321 eV per formula unit
# magnetization = 0.534 μB/atom
data_PaZnBi
_symmetry_space_group_name_H-M 'P 1'
_symmetry_Int_Tables_number 1
_cell_length_a 4.033
_cell_length_b 4.694
_cell_length_c 4.694
_cell_angle_alpha 120.00
_cell_angle_beta 90.00
_cell_angle_gamma 90.00
loop_
_symmetry_equiv_pos_as_xyz
'x,y,z'
loop_
_atom_site_label
_atom_site_fract_x
_atom_site_fract_y
_atom_site_fract_z
Pa1 0.283 0.333 0.667
Zn1 0.970 0.000 0.000
Bi1 0.747 0.667 0.333

=====

Record 2
# Ho2AlSi3Ir4 | Alexandria | PBE | relaxed
# magnetization = 0.000 μB/atom
data_Ho2AlSi3Ir4
_symmetry_space_group_name_H-M 'P 1'
_symmetry_Int_Tables_number 1
_cell_length_a 4.105
_cell_length_b 4.105
_cell_length_c 10.071
_cell_angle_alpha 90.00
_cell_angle_beta 90.00
_cell_angle_gamma 90.00
loop_
_symmetry_equiv_pos_as_xyz
'x,y,z'
loop_
_atom_site_label
_atom_site_fract_x
_atom_site_fract_y
_atom_site_fract_z
Ho1 0.000 0.500 0.751
Ho2 0.500 0.000 0.249
Si1 0.000 0.000 0.500
Si2 0.500 0.000 0.871
Si3 0.000 0.500 0.129
Ir1 0.000 0.000 0.000
Ir2 0.500 0.500 0.000
Ir3 0.500 0.000 0.637
Ir4 0.000 0.500 0.363
Al1 0.500 0.500 0.500

=====

Record 3
# Zr12Co6Bi | Alexandria | PBE | relaxed
# calculated formation energy = -4.202 eV per formula unit
# magnetization = 0.000 μB/atom
data_Zr12Co6Bi
_symmetry_space_group_name_H-M 'P 1'
_symmetry_Int_Tables_number 1
_cell_length_a 7.858
_cell_length_b 7.858
_cell_length_c 7.858
_cell_angle_alpha 109.47
_cell_angle_beta 109.47
_cell_angle_gamma 109.47
loop_
_symmetry_equiv_pos_as_xyz
'x,y,z'
loop_
_atom_site_label
_atom_site_fract_x
_atom_site_fract_y
_atom_site_fract_z
Zr1 0.303 0.491 0.188
Zr2 0.114 0.812 0.303
Zr3 0.188 0.303 0.491
Zr4 0.812 0.697 0.509
Zr5 0.812 0.303 0.114
Zr6 0.491 0.188 0.303
Zr7 0.886 0.188 0.697
Zr8 0.509 0.812 0.697
Zr9 0.188 0.697 0.886
Zr10 0.697 0.886 0.188
Zr11 0.697 0.509 0.812
Zr12 0.303 0.114 0.812
Co1 0.500 0.135 0.635
Co2 0.500 0.865 0.365
Co3 0.135 0.635 0.500
Co4 0.365 0.500 0.865
Co5 0.635 0.500 0.135
Co6 0.865 0.365 0.500
Bi1 0.000 0.000 0.000

=====

Record 4
# LaReCl2 | Alexandria | PBE | relaxed
# relative energy among the computed polymorphs = 312 meV per atom
# magnetization = 0.261 μB/atom
data_LaReCl2
_symmetry_space_group_name_H-M 'P 1'
_symmetry_Int_Tables_number 1
_cell_length_a 7.759
_cell_length_b 7.759
_cell_length_c 7.759
_cell_angle_alpha 155.54
_cell_angle_beta 148.30
_cell_angle_gamma 40.44
loop_
_symmetry_equiv_pos_as_xyz
'x,y,z'
loop_
_atom_site_label
_atom_site_fract_x
_atom_site_fract_y
_atom_site_fract_z
Cl1 0.025 0.025 0.000
Cl2 0.775 0.275 0.500
La1 0.430 0.430 0.000
Re1 0.271 0.771 0.500

=====

Record 5
# Pr4ScTl2 | Alexandria | PBE | relaxed
# relative energy among the computed polymorphs = 0 meV per atom
# calculated formation energy = -0.081 eV per formula unit
# magnetization = 0.000 μB/atom
data_Pr4ScTl2
_symmetry_space_group_name_H-M 'P 1'
_symmetry_Int_Tables_number 1
_cell_length_a 5.598
_cell_length_b 5.598
_cell_length_c 9.478
_cell_angle_alpha 72.82
_cell_angle_beta 72.82
_cell_angle_gamma 60.00
loop_
_symmetry_equiv_pos_as_xyz
'x,y,z'
loop_
_atom_site_label
_atom_site_fract_x
_atom_site_fract_y
_atom_site_fract_z
Tl1 0.391 0.391 0.826
Tl2 0.609 0.609 0.174
Pr1 0.130 0.130 0.609
Pr2 0.271 0.271 0.188
Pr3 0.729 0.729 0.812
Pr4 0.870 0.870 0.391
Sc1 0.500 0.500 0.500

=====

Record 6
# CsIrOsO6 | Alexandria | PBE | relaxed
# magnetization = 0.000 μB/atom
data_CsIrOsO6
_symmetry_space_group_name_H-M 'P 1'
_symmetry_Int_Tables_number 1
_cell_length_a 7.209
_cell_length_b 7.308
_cell_length_c 7.265
_cell_angle_alpha 120.19
_cell_angle_beta 119.74
_cell_angle_gamma 90.00
loop_
_symmetry_equiv_pos_as_xyz
'x,y,z'
loop_
_atom_site_label
_atom_site_fract_x
_atom_site_fract_y
_atom_site_fract_z
O1 0.560 0.310 0.121
O2 0.564 0.932 0.753
O3 0.189 0.321 0.753
O4 0.821 0.071 0.643
O5 0.189 0.932 0.753
O6 0.811 0.068 0.247
O7 0.564 0.321 0.753
O8 0.811 0.679 0.247
O9 0.436 0.068 0.247
O10 0.179 0.929 0.357
O11 0.440 0.690 0.879
O12 0.436 0.679 0.247
Ir1 0.500 0.000 0.500
Ir2 0.000 0.000 0.500
Os1 0.500 0.500 0.000
Os2 0.500 0.000 0.000
Cs1 0.874 0.624 0.748
Cs2 0.126 0.376 0.252

=====

E_tot
In order: -4.777 -7.503 -8.068 -5.425 -4.323 -6.724
Unit: eV/atom